Ba2LaMnF | PBE+U | optimized geometry

Output
VASP energy: -3.599 eV/atom
DOS at the Fermi energy: 5.76 states/eV/f.u.

a b c (Å): 6.6322 6.6322 5.6148
angles (deg): 90.00 90.00 90.00
Positions (direct):
Ba: 0.0000 0.5000 0.0000
Ba: 0.5000 0.0000 0.0000
La: 0.0000 0.0000 0.5000
Mn: 0.0000 0.0000 0.0000
F: 0.5000 0.5000 0.5000